1.
Zr2ZnTe | PBE | optimized geometry

The structure in extended XYZ format:
```
4
Lattice="3.585 0.000 0.000 0.000 3.585 0.000 0.000 0.000 6.537" Properties=species:S:1:pos:R:3 pbc="T T T"
Zr 0.000 0.000 1.571
Zr 0.000 0.000 4.966
Zn 1.793 1.793 0.000
Te 1.793 1.793 3.269
```

Calculated values
E_form (uncorrected)   -1.50 eV per formula unit
Calculated density   7.42 Mg/m³
Total moment   0.0000 μB/atom
Energy above the most stable polymorph in this dataset   0.067 eV/atom

***

2.
KBaZn2 | PBE | optimized geometry

The structure in extended XYZ format:
```
8
Lattice="8.265 0.000 0.000 0.000 8.260 0.000 -0.008 0.000 4.063" Properties=species:S:1:pos:R:3 pbc="T T T"
K 0.000 0.000 0.000
K 4.133 4.130 0.000
Ba 0.000 4.130 0.000
Ba 4.133 0.000 0.000
Zn 2.062 2.065 2.032
Zn 2.062 6.195 2.032
Zn 6.195 2.065 2.032
Zn 6.195 6.195 2.032
```

Calculated values
Calculated density   3.68 Mg/m³
Total moment   0.0000 μB/atom
ΔE_f   49 meV per atom
Energy above the most stable polymorph in this dataset   0.079 eV/atom

***

3.
CoNi4 | PBE | optimized geometry

The structure in extended XYZ format:
```
10
Lattice="3.251 0.000 0.000 0.000 3.251 0.000 0.000 0.000 11.523" Properties=species:S:1:pos:R:3 pbc="T T T"
Co 0.000 0.000 0.000
Co 1.626 1.626 5.761
Ni 0.000 0.000 4.630
Ni 0.000 0.000 6.893
Ni 0.000 1.626 2.881
Ni 0.000 1.626 8.642
Ni 1.626 0.000 2.881
Ni 1.626 0.000 8.642
Ni 1.626 1.626 1.132
Ni 1.626 1.626 10.391
```

Calculated values
Calculated density   8.01 Mg/m³
Total moment   0.9627 μB/atom
ΔE_f   444 meV per atom
Energy above the most stable polymorph in this dataset   0.447 eV/atom

***

4.
BaZnRe | PBE | optimized geometry

The structure in extended XYZ format:
```
3
Lattice="3.069 0.000 0.000 -1.535 2.658 0.000 0.000 0.000 8.020" Properties=species:S:1:pos:R:3 pbc="T T T"
Ba 0.000 0.000 0.000
Zn 0.000 1.772 4.946
Re 1.535 0.886 2.896
```

Calculated values
Calculated density   9.87 Mg/m³
Total moment   0.0009 μB/atom
ΔE_f   1107 meV per atom
Energy above the most stable polymorph in this dataset   0.358 eV/atom

***

5.
HI2Br | PBE | optimized geometry

The structure in extended XYZ format:
```
16
Lattice="7.887 0.000 0.000 0.000 7.887 0.000 0.000 0.000 7.887" Properties=species:S:1:pos:R:3 pbc="T T T"
H 0.000 0.000 0.000
H 0.000 3.943 3.943
H 3.943 0.000 3.943
H 3.943 3.943 0.000
I 1.972 1.972 1.972
I 1.972 1.972 5.915
I 1.972 5.915 1.972
I 1.972 5.915 5.915
I 5.915 1.972 1.972
I 5.915 1.972 5.915
I 5.915 5.915 1.972
I 5.915 5.915 5.915
Br 0.000 0.000 3.943
Br 0.000 3.943 0.000
Br 3.943 0.000 0.000
Br 3.943 3.943 3.943
```

Calculated values
Calculated density   4.53 Mg/m³
Total moment   0.5000 μB/atom
Energy above the most stable polymorph in this dataset   0.965 eV/atom

***

6.
PaIr2PbO8 | PBE | optimized geometry

The structure in extended XYZ format:
```
12
Lattice="5.690 0.000 0.000 -2.845 4.928 0.000 0.000 0.000 7.082" Properties=species:S:1:pos:R:3 pbc="T T T"
Pa 0.000 0.000 0.000
Ir 0.000 3.285 2.454
Ir 2.845 1.643 4.628
Pb 0.000 0.000 3.541
O 0.000 1.677 1.365
O -1.392 4.089 1.365
O 0.000 3.285 4.212
O 1.453 0.839 5.717
O 1.392 4.089 1.365
O 2.845 1.643 2.870
O 4.237 0.839 5.717
O 2.845 3.250 5.717
```

Calculated values
E_form (uncorrected)   -13.69 eV per formula unit
Calculated density   7.95 Mg/m³
Total moment   0.0000 μB/atom

***

7.
Pr2Sm3Zn3 | PBE | optimized geometry

The structure in extended XYZ format:
```
16
Lattice="3.728 0.000 0.000 0.000 5.277 0.000 0.000 0.000 22.128" Properties=species:S:1:pos:R:3 pbc="T T T"
Pr 0.000 0.000 5.034
Pr 0.000 0.000 17.094
Pr 1.864 2.638 6.030
Pr 1.864 2.638 16.098
Sm 0.000 0.000 0.000
Sm 0.000 2.638 2.537
Sm 0.000 2.638 19.591
Sm 1.864 0.000 8.527
Sm 1.864 0.000 13.601
Sm 1.864 2.638 11.064
Zn 0.000 0.000 11.064
Zn 0.000 2.638 8.579
Zn 0.000 2.638 13.549
Zn 1.864 0.000 2.485
Zn 1.864 0.000 19.643
Zn 1.864 2.638 0.000
```

Calculated values
Calculated density   7.09 Mg/m³
Total moment   0.0000 μB/atom
ΔE_f   -216 meV per atom

***

8.
Li3Cd3Ag | PBE | optimized geometry

The structure in extended XYZ format:
```
28
Lattice="8.159 0.000 0.000 0.000 8.159 0.000 0.000 0.000 8.159" Properties=species:S:1:pos:R:3 pbc="T T T"
Li 0.184 2.535 7.063
Li 1.096 4.263 1.545
Li 1.545 1.096 4.263
Li 2.535 7.063 0.184
Li 2.983 3.896 5.624
Li 3.896 5.624 2.983
Li 4.263 1.545 1.096
Li 5.175 7.975 6.614
Li 5.624 2.983 3.896
Li 6.614 5.175 7.975
Li 7.063 0.184 2.535
Li 7.975 6.614 5.175
Cd 0.382 3.697 4.461
Cd 1.335 6.824 2.745
Cd 1.357 1.357 1.357
Cd 2.723 6.802 5.436
Cd 2.745 1.335 6.824
Cd 3.697 4.461 0.382
Cd 4.461 0.382 3.697
Cd 5.414 5.414 5.414
Cd 5.436 2.723 6.802
Cd 6.802 5.436 2.723
Cd 6.824 2.745 1.335
Cd 7.777 7.777 7.777
Ag 1.061 5.141 7.097
Ag 3.018 3.018 3.018
Ag 5.141 7.097 1.061
Ag 7.097 1.061 5.141
```

Calculated values
Calculated density   5.70 Mg/m³
Total moment   0.0000 μB/atom
ΔE_f   -141 meV per atom
Energy above the most stable polymorph in this dataset   0.026 eV/atom

***

no.,DOS(E_F) (states/eV/cell),volume (Å³ per cell)
1,2.3,84.03
2,8.5,277.41
3,18.7,121.81
4,3.5,65.43
5,9.3,490.52
6,3.9,198.56
7,19.1,435.35
8,8.9,543.10